Here is a geometry-optimized Na3MoNO3 structure from Alexandria via LeMat-Bulk. Energies are from GGA-PBEsol.

Values from the calculation:
Its density of states at the Fermi level is 0.00 states/eV per atom. The value obtained for the formation energy (no corrections) is -1.58 eV per atom. Its space group is Pmn2_1.

abc: 7.2610 6.2028 5.5960
angles: 90.00 90.00 90.00
Closest atoms and distances in Å follow each position.
Element x y z (fractional)
Na 0.0000 0.1656 0.0000  3 O 2.34-2.36, 1 N 2.35
Na 0.2446 0.3283 0.5025  3 O 2.29-2.32, 1 N 2.32
Na 0.2554 0.6717 0.0025  3 O 2.29-2.32, 1 N 2.32
Na 0.5000 0.8344 0.5000  3 O 2.34-2.36, 1 N 2.35
Na 0.7446 0.6717 0.0025  3 O 2.29-2.32, 1 N 2.32
Na 0.7554 0.3283 0.5025  3 O 2.29-2.32, 1 N 2.32
Mo 0.0000 0.8277 0.5106  1 N 1.73, 3 O 1.83
Mo 0.5000 0.1723 0.0106  1 N 1.73, 3 O 1.83
N 0.0000 0.8242 0.8198  1 Mo 1.73
N 0.5000 0.1758 0.3198  1 Mo 1.73
O 0.0000 0.1089 0.4133  1 Mo 1.83
O 0.2082 0.6875 0.4116  1 Mo 1.83
O 0.2918 0.3125 0.9116  1 Mo 1.83
O 0.5000 0.8911 0.9133  1 Mo 1.83
O 0.7082 0.3125 0.9116  1 Mo 1.83
O 0.7918 0.6875 0.4116  1 Mo 1.83



Here is a geometry-optimized Zr2ScSi2 structure from Alexandria via LeMat-Bulk. Energies are from GGA-PBEsol.

Values from the calculation:
Its density of states at the Fermi level is 1.03 states/eV per atom. The value obtained for the formation energy (no corrections) is -0.90 eV per atom. Its space group is P4/mbm.

abc: 7.0326 7.0326 3.6821
angles: 90.00 90.00 90.00
Closest atoms and distances in Å follow each position.
Element x y z (fractional)
Zr 0.1719 0.3281 0.0000  6 Si 2.75-2.79
Zr 0.3281 0.8281 0.0000  6 Si 2.75-2.79
Zr 0.6719 0.1719 0.0000  6 Si 2.75-2.79
Zr 0.8281 0.6719 0.0000  6 Si 2.75-2.79
Sc 0.0000 0.0000 0.5000  4 Si 2.79
Sc 0.5000 0.5000 0.5000  4 Si 2.79
Si 0.1231 0.6231 0.5000  1 Si 2.45
Si 0.3769 0.1231 0.5000  1 Si 2.45
Si 0.6231 0.8769 0.5000  1 Si 2.45
Si 0.8769 0.3769 0.5000  1 Si 2.45



Here is a geometry-optimized K2CdAu2 structure from Alexandria via LeMat-Bulk. Energies are from GGA-PBEsol.

Values from the calculation:
Its density of states at the Fermi level is 0.32 states/eV per atom. For the energy of formation, the calculation gives -142 meV per atom. Its space group is P4/mbm.

abc: 7.3677 7.3677 5.0074
angles: 90.00 90.00 90.00
Closest atoms and distances in Å follow each position.
Element x y z (fractional)
K 0.1704 0.3296 0.0000  6 Au 3.23-3.37, 1 K 3.55
K 0.3296 0.8296 0.0000  6 Au 3.23-3.37, 1 K 3.55
K 0.6704 0.1704 0.0000  6 Au 3.23-3.37, 1 K 3.55
K 0.8296 0.6704 0.0000  6 Au 3.23-3.37, 1 K 3.55
Cd 0.0000 0.0000 0.5000  4 Au 2.88
Cd 0.5000 0.5000 0.5000  4 Au 2.88
Au 0.1331 0.6331 0.5000  1 Au 2.77, 2 Cd 2.88
Au 0.3669 0.1331 0.5000  1 Au 2.77, 2 Cd 2.88
Au 0.6331 0.8669 0.5000  1 Au 2.77, 2 Cd 2.88
Au 0.8669 0.3669 0.5000  1 Au 2.77, 2 Cd 2.88



Here is a geometry-optimized TmFe5P3 structure from Alexandria via LeMat-Bulk. Energies are from GGA-PBEsol.

Values from the calculation:
Its density of states at the Fermi level is 0.88 states/eV per atom. For the energy of formation, the calculation gives -863 meV per atom. Its space group is Pnma.

abc: 11.5861 3.5910 10.0780
angles: 90.00 90.00 90.00
Closest atoms and distances in Å follow each position.
Element x y z (fractional)
Tm 0.2039 0.2500 0.0803  6 P 2.73-2.82, 10 Fe 2.88-3.05
Tm 0.2961 0.7500 0.5803  6 P 2.73-2.82, 10 Fe 2.88-3.05
Tm 0.7039 0.2500 0.4197  6 P 2.73-2.82, 10 Fe 2.88-3.05
Tm 0.7961 0.7500 0.9197  6 P 2.73-2.82, 10 Fe 2.88-3.05
Fe 0.0105 0.7500 0.0950  4 P 2.21-2.27
Fe 0.0107 0.7500 0.7056  3 P 2.22-2.44
Fe 0.0667 0.7500 0.4641  4 P 2.13-2.20
Fe 0.1749 0.2500 0.7801  4 P 2.15-2.30
Fe 0.2011 0.2500 0.3773  4 P 2.26-2.27, 2 Fe 2.50
Fe 0.2989 0.7500 0.8773  4 P 2.26-2.27, 2 Fe 2.50
Fe 0.3251 0.7500 0.2801  4 P 2.15-2.30
Fe 0.4333 0.2500 0.9641  4 P 2.13-2.20
Fe 0.4893 0.2500 0.2056  3 P 2.22-2.44
Fe 0.4895 0.2500 0.5950  4 P 2.21-2.27
Fe 0.5105 0.7500 0.4050  4 P 2.21-2.27
Fe 0.5107 0.7500 0.7944  3 P 2.22-2.44
Fe 0.5667 0.7500 0.0359  4 P 2.13-2.20
Fe 0.6749 0.2500 0.7199  4 P 2.15-2.30
Fe 0.7011 0.2500 0.1227  4 P 2.26-2.27, 2 Fe 2.50
Fe 0.7989 0.7500 0.6227  4 P 2.26-2.27, 2 Fe 2.50
Fe 0.8251 0.7500 0.2199  4 P 2.15-2.30
Fe 0.9333 0.2500 0.5359  4 P 2.13-2.20
Fe 0.9893 0.2500 0.2944  3 P 2.22-2.44
Fe 0.9895 0.2500 0.9050  4 P 2.21-2.27
P 0.1046 0.7500 0.8977  7 Fe 2.22-2.30
P 0.1139 0.2500 0.5787  5 Fe 2.14-2.27
P 0.1303 0.7500 0.2660  5 Fe 2.13-2.27
P 0.3697 0.2500 0.7660  5 Fe 2.13-2.27
P 0.3861 0.7500 0.0787  5 Fe 2.14-2.27
P 0.3954 0.2500 0.3977  7 Fe 2.22-2.30
P 0.6046 0.7500 0.6023  7 Fe 2.22-2.30
P 0.6139 0.2500 0.9213  5 Fe 2.14-2.27
P 0.6303 0.7500 0.2340  5 Fe 2.13-2.27
P 0.8697 0.2500 0.7340  5 Fe 2.13-2.27
P 0.8861 0.7500 0.4213  5 Fe 2.14-2.27
P 0.8954 0.2500 0.1023  7 Fe 2.22-2.30



Here is a geometry-optimized Ag5HgSbO6 structure from Alexandria via LeMat-Bulk. Energies are from GGA-PBEsol.

Values from the calculation:
Its density of states at the Fermi level is 0.23 states/eV per atom. The value obtained for the formation energy (no corrections) is -0.49 eV per atom. Its space group is P-31c.

abc: 5.8921 5.8921 12.3078
angles: 90.00 90.00 120.00
Closest atoms and distances in Å follow each position.
Element x y z (fractional)
Ag 0.0000 0.0000 0.1147  3 O 2.25
Ag 0.0000 0.0000 0.3853  3 O 2.25
Ag 0.0000 0.0000 0.6147  3 O 2.25
Ag 0.0000 0.0000 0.8853  3 O 2.25
Ag 0.0000 0.5000 0.0000  2 O 2.09
Ag 0.0000 0.5000 0.5000  2 O 2.09
Ag 0.5000 0.0000 0.0000  2 O 2.09
Ag 0.5000 0.0000 0.5000  2 O 2.09
Ag 0.5000 0.5000 0.0000  2 O 2.09
Ag 0.5000 0.5000 0.5000  2 O 2.09
Hg 0.3333 0.6667 0.2500  6 O 2.37
Hg 0.6667 0.3333 0.7500  6 O 2.37
Sb 0.3333 0.6667 0.7500  6 O 2.02
Sb 0.6667 0.3333 0.2500  6 O 2.02
O 0.0438 0.3914 0.6569  1 Sb 2.02, 2 Ag 2.09-2.25
O 0.0438 0.6523 0.8431  1 Sb 2.02, 2 Ag 2.09-2.25
O 0.3477 0.3914 0.8431  1 Sb 2.02, 2 Ag 2.09-2.25
O 0.3477 0.9562 0.6569  1 Sb 2.02, 2 Ag 2.09-2.25
O 0.3914 0.0438 0.1569  1 Sb 2.02, 2 Ag 2.09-2.25
O 0.3914 0.3477 0.3431  1 Sb 2.02, 2 Ag 2.09-2.25
O 0.6086 0.6523 0.6569  1 Sb 2.02, 2 Ag 2.09-2.25
O 0.6086 0.9562 0.8431  1 Sb 2.02, 2 Ag 2.09-2.25
O 0.6523 0.0438 0.3431  1 Sb 2.02, 2 Ag 2.09-2.25
O 0.6523 0.6086 0.1569  1 Sb 2.02, 2 Ag 2.09-2.25
O 0.9562 0.3477 0.1569  1 Sb 2.02, 2 Ag 2.09-2.25
O 0.9562 0.6086 0.3431  1 Sb 2.02, 2 Ag 2.09-2.25



Here is a geometry-optimized SrMgTa2 structure from Alexandria via LeMat-Bulk. Energies are from GGA-PBEsol.

Values from the calculation:
Its density of states at the Fermi level is 1.72 states/eV per atom. For the energy of formation, the calculation gives 1004 meV per atom. Its space group is P4/mmm.

abc: 3.6525 3.6525 7.2333
angles: 90.00 90.00 90.00
Closest atoms and distances in Å follow each position.
Element x y z (fractional)
Sr 0.0000 0.0000 0.0000  8 Ta 3.53, 2 Mg 3.62, 4 Sr 3.65
Mg 0.0000 0.0000 0.5000  8 Ta 2.85
Ta 0.5000 0.5000 0.3319  1 Ta 2.43
Ta 0.5000 0.5000 0.6681  1 Ta 2.43